# 1
## LaCo2Ge2 (PBE)

Data for LaCo2Ge2 after structural relaxation.

Cell: 7.432 7.432 3.001 Å, 90.00 90.00 90.00°
Element x y z (fractional)
La 0.000 0.000 0.000
La 0.500 0.500 0.000
Co 0.625 0.125 0.000
Co 0.125 0.375 0.000
Co 0.875 0.625 0.000
Co 0.375 0.875 0.000
Ge 0.151 0.651 0.500
Ge 0.349 0.151 0.500
Ge 0.651 0.849 0.500
Ge 0.849 0.349 0.500

Output
magnetic moment: 1.989 μB/f.u.
calculated formation energy: -0.108 eV per atom

---

# 2
## LaCo3Ge3 (PBE)

Data for LaCo3Ge3 after structural relaxation.

Cell: 6.293 6.293 8.175 Å, 67.36 67.36 60.00°
Element x y z (fractional)
La 0.678 0.678 0.966
La 0.322 0.322 0.034
Co 0.567 0.780 0.608
Co 0.433 0.220 0.392
Co 0.780 0.045 0.608
Co 0.955 0.433 0.392
Co 0.220 0.955 0.392
Co 0.045 0.567 0.608
Ge 0.838 0.209 0.288
Ge 0.162 0.791 0.712
Ge 0.334 0.162 0.712
Ge 0.209 0.666 0.288
Ge 0.666 0.838 0.288
Ge 0.791 0.334 0.712

Output
magnetic moment: 1.759 μB/f.u.
offset from the most stable computed form: 0.0 kJ/mol of atoms
calculated formation energy: -0.185 eV per atom

---

# 3
## La4CoGe3 (PBE)

Data for La4CoGe3 after structural relaxation.

Cell: 4.503 4.220 10.851 Å, 90.00 90.00 90.00°
Element x y z (fractional)
La 0.000 0.000 0.137
La 0.000 0.500 0.876
La 0.500 0.000 0.643
La 0.500 0.500 0.338
Co 0.500 0.500 0.066
Ge 0.000 0.500 0.577
Ge 0.500 0.000 0.942
Ge 0.000 0.000 0.422

Output
magnetic moment: 0.033 μB/f.u.
calculated formation energy: -0.632 eV per atom

---

# 4
## LaCo2Ge4 (PBE)

Data for LaCo2Ge4 after structural relaxation.

Cell: 4.167 6.524 17.323 Å, 90.00 90.00 90.00°
Element x y z (fractional)
La 0.250 0.514 0.860
La 0.250 0.986 0.360
La 0.750 0.486 0.140
La 0.750 0.014 0.640
Ge 0.250 0.296 0.700
Ge 0.250 0.696 0.680
Ge 0.750 0.704 0.300
Ge 0.750 0.647 0.973
Ge 0.250 0.147 0.527
Ge 0.250 0.204 0.200
Ge 0.750 0.796 0.800
Ge 0.250 0.481 0.431
Ge 0.250 0.353 0.027
Ge 0.750 0.981 0.069
Ge 0.250 0.019 0.931
Ge 0.750 0.853 0.473
Ge 0.750 0.519 0.569
Ge 0.750 0.304 0.320
Ge 0.750 0.196 0.820
Ge 0.250 0.804 0.180
Co 0.250 0.997 0.790
Co 0.250 0.743 0.533
Co 0.750 0.257 0.467
Co 0.250 0.503 0.290
Co 0.750 0.003 0.210
Co 0.750 0.243 0.967
Co 0.250 0.757 0.033
Co 0.750 0.497 0.710

Output
magnetic moment: 0.000 μB/f.u.
calculated formation energy: -0.415 eV per atom

---

# 5
## La3CoGe2 (PBE)

Data for La3CoGe2 after structural relaxation.

Cell: 4.336 11.689 12.207 Å, 90.00 90.00 90.00°
Element x y z (fractional)
Ge 0.750 0.507 0.199
Ge 0.250 0.814 0.977
Ge 0.250 0.686 0.477
Ge 0.750 0.314 0.523
Ge 0.750 0.186 0.023
Ge 0.750 0.993 0.699
Ge 0.250 0.493 0.801
Ge 0.250 0.007 0.301
La 0.250 0.053 0.882
La 0.750 0.202 0.275
La 0.750 0.553 0.618
La 0.750 0.628 0.945
La 0.250 0.372 0.055
La 0.750 0.947 0.118
La 0.250 0.447 0.382
La 0.750 0.298 0.775
La 0.250 0.128 0.555
La 0.250 0.798 0.725
La 0.250 0.702 0.225
La 0.750 0.872 0.445
Co 0.250 0.137 0.130
Co 0.750 0.863 0.870
Co 0.750 0.637 0.370
Co 0.250 0.363 0.630

Output
magnetic moment: 0.000 μB/f.u.
calculated formation energy: -0.682 eV per atom

---

# 6
## La2Co2Ge (PBE)

Data for La2Co2Ge after structural relaxation.

Cell: 7.029 7.029 4.136 Å, 90.00 90.00 90.00°
Element x y z (fractional)
Co 0.116 0.384 0.000
Co 0.616 0.116 0.000
Co 0.884 0.616 0.000
Co 0.384 0.884 0.000
La 0.812 0.312 0.500
La 0.688 0.812 0.500
La 0.188 0.688 0.500
La 0.312 0.188 0.500
Ge 0.500 0.500 0.000
Ge 0.000 0.000 0.000

Output
magnetic moment: 0.988 μB/f.u.
calculated formation energy: -0.281 eV per atom

---

# 7
## LaCo2Ge (PBE)

Data for LaCo2Ge after structural relaxation.

Cell: 4.575 4.575 8.641 Å, 74.65 74.65 90.00°
Element x y z (fractional)
Co 0.875 0.627 0.750
Co 0.373 0.625 0.250
Co 0.375 0.623 0.750
Co 0.377 0.125 0.250
La 0.000 0.000 0.000
La 0.750 0.250 0.500
Ge 0.250 0.750 0.500
Ge 0.500 0.500 0.000

Output
magnetic moment: 2.005 μB/f.u.
calculated formation energy: -0.144 eV per atom

---

# 8
## La4CoGe2 (PBE)

Data for La4CoGe2 after structural relaxation.

Cell: 4.972 4.972 9.048 Å, 105.95 105.95 90.00°
Element x y z (fractional)
La 0.000 0.500 0.000
La 0.819 0.819 0.637
La 0.181 0.181 0.363
La 0.500 0.000 0.000
Co 0.000 0.000 0.000
Ge 0.637 0.637 0.274
Ge 0.363 0.363 0.726

Output
magnetic moment: 0.000 μB/f.u.
offset from the most stable computed form: 6.7 kJ/mol of atoms
calculated formation energy: -0.462 eV per atom

---

# 9
## La4CoGe2 (PBE)

Data for La4CoGe2 after structural relaxation.

Cell: 6.784 6.519 8.763 Å, 80.24 90.00 90.00°
Element x y z (fractional)
La 0.500 0.837 0.782
La 0.250 0.330 0.565
La 0.250 0.671 0.147
La 0.750 0.670 0.435
La 0.000 0.837 0.782
La 0.000 0.163 0.218
La 0.750 0.329 0.853
La 0.500 0.163 0.218
Ge 0.750 0.178 0.536
Ge 0.250 0.822 0.464
Ge 0.250 0.390 0.900
Ge 0.750 0.610 0.100
Co 0.250 0.025 0.912
Co 0.750 0.975 0.088

Output
magnetic moment: 0.000 μB/f.u.
offset from the most stable computed form: 0.0 kJ/mol of atoms
calculated formation energy: -0.532 eV per atom

---

# 10
## La3Co2Ge4 (PBE)

Data for La3Co2Ge4 after structural relaxation.

Cell: 4.230 6.127 8.308 Å, 107.07 90.00 110.19°
Element x y z (fractional)
La 0.611 0.223 0.685
La 0.389 0.777 0.315
La 0.000 0.000 0.000
Ge 0.884 0.767 0.605
Ge 0.286 0.571 0.918
Ge 0.714 0.429 0.082
Ge 0.116 0.233 0.395
Co 0.299 0.599 0.631
Co 0.701 0.401 0.369

Output
magnetic moment: 0.000 μB/f.u.
offset from the most stable computed form: 0.0 kJ/mol of atoms
calculated formation energy: -0.689 eV per atom

---

# 11
## LiLa2CoGe (PBE)

Data for LiLa2CoGe after structural relaxation.

Cell: 5.373 5.373 4.544 Å, 90.00 90.00 90.00°
Element x y z (fractional)
Li 0.500 0.500 0.500
Co 0.000 0.000 0.000
La 0.500 0.000 0.000
La 0.000 0.500 0.000
Ge 0.000 0.000 0.500

Output
magnetic moment: 0.000 μB/f.u.
calculated formation energy: -0.260 eV per atom

---

# 12
## LiLaCoGe2 (PBE)

Data for LiLaCoGe2 after structural relaxation.

Cell: 4.235 4.235 5.880 Å, 111.11 111.11 90.00°
Element x y z (fractional)
Ge 0.630 0.630 0.260
Ge 0.370 0.370 0.740
Li 0.250 0.750 0.500
La 0.000 0.000 0.000
Co 0.750 0.250 0.500

Output
magnetic moment: 0.774 μB/f.u.
calculated formation energy: -0.536 eV per atom

---

# 13
## LaMgCoGe2 (PBE)

Data for LaMgCoGe2 after structural relaxation.

Cell: 6.015 5.402 6.056 Å, 90.00 90.00 90.00°
Element x y z (fractional)
Ge 0.233 0.750 0.764
Ge 0.767 0.250 0.764
Ge 0.767 0.250 0.236
Ge 0.233 0.750 0.236
Mg 0.368 0.250 0.000
Mg 0.632 0.750 0.000
Co 0.000 0.000 0.000
Co 0.000 0.500 0.000
La 0.762 0.750 0.500
La 0.238 0.250 0.500

Output
magnetic moment: 0.000 μB/f.u.
calculated formation energy: -0.435 eV per atom

---

# 14
## LaMg2CoGe (PBE)

Data for LaMg2CoGe after structural relaxation.

Cell: 4.808 4.808 4.573 Å, 90.00 90.00 90.00°
Element x y z (fractional)
Mg 0.500 0.000 0.000
Mg 0.000 0.500 0.000
La 0.500 0.500 0.500
Ge 0.000 0.000 0.500
Co 0.000 0.000 0.000

Output
magnetic moment: 0.000 μB/f.u.
calculated formation energy: -0.252 eV per atom

---

# 15
## LaMnCoGe2 (PBE)

Data for LaMnCoGe2 after structural relaxation.

Cell: 4.119 4.119 6.037 Å, 109.94 109.94 90.00°
Element x y z (fractional)
Co 0.750 0.250 0.500
Ge 0.370 0.370 0.741
Ge 0.630 0.630 0.259
La 0.000 0.000 0.000
Mn 0.250 0.750 0.500

Output
magnetic moment: 2.256 μB/f.u.
calculated formation energy: -0.520 eV per atom

---

# 16
## LaCoGeN (PBE)

Data for LaCoGeN after structural relaxation.

Cell: 3.876 3.876 8.586 Å, 90.00 90.00 90.00°
Element x y z (fractional)
N 0.000 0.500 0.125
N 0.500 0.000 0.875
Ge 0.500 0.000 0.648
Ge 0.000 0.500 0.352
Co 0.500 0.500 0.500
Co 0.000 0.000 0.500
La 0.000 0.500 0.845
La 0.500 0.000 0.155

Output
magnetic moment: 0.000 μB/f.u.
formation energy (no corrections): -826.7 meV per atom

---

# 17
## LaCoGe2N (PBE)

Data for LaCoGe2N after structural relaxation.

Cell: 4.277 5.136 4.277 Å, 90.00 90.00 90.00°
Element x y z (fractional)
Co 0.000 0.000 0.000
Ge 0.000 0.000 0.500
Ge 0.500 0.000 0.000
N 0.000 0.500 0.000
La 0.500 0.500 0.500

Output
magnetic moment: 0.000 μB/f.u.
formation energy (no corrections): 274.8 meV per atom

---

# 18
## La2CoGeN (PBE)

Data for La2CoGeN after structural relaxation.

Cell: 5.355 5.355 3.575 Å, 90.00 90.00 90.00°
Element x y z (fractional)
N 0.000 0.000 0.000
Ge 0.500 0.500 0.500
La 0.000 0.500 0.000
La 0.500 0.000 0.000
Co 0.000 0.000 0.500

Output
magnetic moment: 0.000 μB/f.u.
offset from the most stable computed form: 8.2 kJ/mol of atoms
formation energy (no corrections): -758.7 meV per atom

---

# 19
## La2CoGeN (PBE)

Data for La2CoGeN after structural relaxation.

Cell: 3.989 6.471 8.582 Å, 109.68 90.00 90.00°
Element x y z (fractional)
La 0.250 0.220 0.966
La 0.750 0.780 0.034
La 0.250 0.216 0.387
La 0.750 0.784 0.613
Ge 0.250 0.684 0.299
Ge 0.750 0.316 0.701
N 0.250 0.828 0.829
N 0.750 0.172 0.171
Co 0.750 0.475 0.250
Co 0.250 0.525 0.750

Output
magnetic moment: 0.742 μB/f.u.
offset from the most stable computed form: 0.0 kJ/mol of atoms
formation energy (no corrections): -844.0 meV per atom

---

# 20
## La2CoNi3Ge4 (PBE)

Data for La2CoNi3Ge4 after structural relaxation.

Cell: 4.195 4.195 9.851 Å, 90.00 90.00 90.00°
Element x y z (fractional)
Ni 0.000 0.000 0.500
Ni 0.000 0.500 0.126
Ni 0.500 0.000 0.874
Ge 0.500 0.500 0.000
Ge 0.000 0.500 0.375
Ge 0.000 0.000 0.000
Ge 0.500 0.000 0.625
La 0.500 0.000 0.250
La 0.000 0.500 0.750
Co 0.500 0.500 0.500

Output
magnetic moment: 1.088 μB/f.u.
calculated formation energy: -0.668 eV per atom

---

# 21
## La2Co3Ni12Ge (PBE)

Data for La2Co3Ni12Ge after structural relaxation.

Cell: 7.269 7.269 7.269 Å, 63.09 63.09 63.09°
Element x y z (fractional)
Ni 0.100 0.635 0.635
Ni 0.130 0.130 0.628
Ni 0.900 0.365 0.365
Ni 0.365 0.900 0.365
Ni 0.870 0.870 0.372
Ni 0.628 0.130 0.130
Ni 0.130 0.628 0.130
Ni 0.635 0.100 0.635
Ni 0.365 0.365 0.900
Ni 0.870 0.372 0.870
Ni 0.372 0.870 0.870
Ni 0.635 0.635 0.100
La 0.615 0.615 0.615
La 0.385 0.385 0.385
Co 0.500 0.000 0.000
Co 0.000 0.000 0.500
Co 0.000 0.500 0.000
Ge 0.000 0.000 0.000

Output
magnetic moment: 9.040 μB/f.u.
calculated formation energy: 0.434 eV per atom

---

# 22
## LaCoGe2Os (PBE)

Data for LaCoGe2Os after structural relaxation.

Cell: 4.182 4.182 6.008 Å, 110.37 110.37 90.00°
Element x y z (fractional)
Os 0.250 0.750 0.500
La 0.000 0.000 0.000
Ge 0.632 0.632 0.265
Ge 0.368 0.368 0.735
Co 0.750 0.250 0.500

Output
magnetic moment: 0.000 μB/f.u.
calculated formation energy: -0.502 eV per atom